[1]
First-principles (PBE) data for a relaxed ScCd3C crystal, as listed in Alexandria via LeMat-Bulk.

Summary:
ΔE to the lowest computed polymorph ... 1.145 eV per atom
Crystal system ... cubic
Total magnetic moment ... 2.756 μB per cell
Fermi-level density of states ... 0.713 states/eV per atom

a b c (Å): 5.7828 5.7828 5.7828
angles (deg): 90.00 90.00 90.00
Space group Pm-3m (No. 221)
Inequivalent atoms, fractional coordinates:
Sc 0.0000 0.0000 0.0000 x1
Cd 0.0000 0.0000 0.5000 x3
C 0.5000 0.5000 0.5000 x1


[2]
First-principles (PBE) data for a relaxed Zn2CuSi crystal, as listed in Alexandria via LeMat-Bulk.

Summary:
Crystal system ... trigonal
Formation energy without anion corrections ... 0.07 eV per atom
Total magnetic moment ... 0.000 μB per cell
Fermi-level density of states ... 0.178 states/eV per atom

a b c (Å): 2.6483 2.6483 28.2484
angles (deg): 90.00 90.00 120.00
Space group R3m (No. 160, hexagonal axes)
Inequivalent atoms, fractional coordinates:
Zn 0.0000 0.0000 0.0000 x3
Zn 0.0000 0.0000 0.2398 x3
Cu 0.0000 0.0000 0.7453 x3
Si 0.0000 0.0000 0.4848 x3


Q: Among the records above, which one has the lowest total magnetic moment?
A: Zn2CuSi


Q: Among the records above, which one has the highest total magnetic moment?
A: ScCd3C


What did the second record say?
First-principles (PBE) data for a relaxed Zn2CuSi crystal, as listed in Alexandria via LeMat-Bulk.

Summary:
Crystal system ... trigonal
Formation energy without anion corrections ... 0.07 eV per atom
Total magnetic moment ... 0.000 μB per cell
Fermi-level density of states ... 0.178 states/eV per atom

a b c (Å): 2.6483 2.6483 28.2484
angles (deg): 90.00 90.00 120.00
Space group R3m (No. 160, hexagonal axes)
Inequivalent atoms, fractional coordinates:
Zn 0.0000 0.0000 0.0000 x3
Zn 0.0000 0.0000 0.2398 x3
Cu 0.0000 0.0000 0.7453 x3
Si 0.0000 0.0000 0.4848 x3


Q: Look up the Fermi-level density of states of the first one.
A: 0.713 states/eV per atom